1.
First-principles (PBE) data for a relaxed TcP2CO crystal, as listed in the Alexandria database.

Lattice parameters (Å, degrees): 4.6876 4.6876 3.6654 90.00 90.00 90.00
Last column: nearest neighbours and their distance in Å.
Space group P4/mmm (No. 123)
Symmetry-distinct sites (fractional):
Tc  0.0000  0.0000  0.0000 [1 per cell]  2 O 1.83
P  0.0000  0.5000  0.0000 [2 per cell]  2 Tc 2.34
C  0.5000  0.5000  0.5000 [1 per cell]  8 P 2.98, 4 O 3.31
O  0.0000  0.0000  0.5000 [1 per cell]  2 Tc 1.83

Computed properties:
calculated total energy: -29.44 eV/f.u.


2.
First-principles (PBE) data for a relaxed Bi3RhAu crystal, as listed in the Alexandria database.

Lattice parameters (Å, degrees): 12.5585 12.7492 6.6604 90.00 104.33 90.00
Last column: nearest neighbours and their distance in Å.
Space group C2/c (No. 15)
Symmetry-distinct sites (fractional):
Bi  0.0703  0.1126  0.4922 [8 per cell]  1 Rh 2.80, 3 Au 3.02-3.10
Bi  0.1198  0.3516  0.1044 [8 per cell]  3 Rh 2.75-3.01, 1 Au 2.92
Bi  0.1642  0.3782  0.6298 [8 per cell]  2 Rh 2.76-2.85, 1 Au 3.00
Rh  0.0000  0.2558  0.7500 [4 per cell]  6 Bi 2.75-2.85, 2 Au 2.90, 1 Rh 2.95
Rh  0.0000  0.4869  0.7500 [4 per cell]  6 Bi 2.76-3.01, 1 Rh 2.95
Au  0.1639  0.1078  0.9679 [8 per cell]  1 Rh 2.90, 5 Bi 2.92-3.10

Computed properties:
ΔE_f: -0.39 eV per formula unit


3.
First-principles (PBE) data for a relaxed V3GeTe crystal, as listed in the Alexandria database.

Lattice parameters (Å, degrees): 4.9939 4.9939 4.9939 90.00 90.00 90.00
Last column: nearest neighbours and their distance in Å.
Space group Pm-3m (No. 221)
Symmetry-distinct sites (fractional):
V  0.0000  0.0000  0.5000 [3 per cell]  2 Te 2.50
Ge  0.5000  0.5000  0.5000 [1 per cell]  12 V 3.53
Te  0.0000  0.0000  0.0000 [1 per cell]  6 V 2.50

Computed properties:
calculated total energy: -28.97 eV/f.u.


4.
First-principles (PBE) data for a relaxed CdCoSnRh crystal, as listed in the Alexandria database.

Lattice parameters (Å, degrees): 6.3687 6.3687 6.3687 90.00 90.00 90.00
Last column: nearest neighbours and their distance in Å.
Space group F-43m (No. 216)
Symmetry-distinct sites (fractional):
Cd  0.0000  0.0000  0.0000 [4 per cell]  4 Rh 2.76, 4 Co 2.76
Co  0.2500  0.2500  0.2500 [4 per cell]  4 Cd 2.76, 4 Sn 2.76
Sn  0.0000  0.0000  0.5000 [4 per cell]  4 Co 2.76, 4 Rh 2.76
Rh  0.2500  0.2500  0.7500 [4 per cell]  4 Cd 2.76, 4 Sn 2.76

Computed properties:
ΔE_f: -0.26 eV per formula unit


5.
First-principles (PBE) data for a relaxed Be2VZn crystal, as listed in the Alexandria database.

Lattice parameters (Å, degrees): 2.6024 2.6024 6.4565 90.00 90.00 90.00
Last column: nearest neighbours and their distance in Å.
Space group P4/mmm (No. 123)
Symmetry-distinct sites (fractional):
Be  0.0000  0.0000  0.2419 [2 per cell]  4 Zn 2.41, 4 V 2.48, 4 Be 2.60
V  0.5000  0.5000  0.5000 [1 per cell]  8 Be 2.48, 4 V 2.60
Zn  0.5000  0.5000  0.0000 [1 per cell]  8 Be 2.41, 4 Zn 2.60

Computed properties:
ΔE_f: 0.09 eV per formula unit


6.
First-principles (PBE) data for a relaxed PrHoSc2 crystal, as listed in the Alexandria database.

Lattice parameters (Å, degrees): 7.7256 7.7256 7.7256 90.00 90.00 90.00
Last column: nearest neighbours and their distance in Å.
Space group Fm-3m (No. 225)
Symmetry-distinct sites (fractional):
Pr  0.0000  0.0000  0.0000 [4 per cell]  8 Sc 3.35
Ho  0.0000  0.0000  0.5000 [4 per cell]  8 Sc 3.35
Sc  0.2500  0.2500  0.2500 [8 per cell]  4 Pr 3.35, 4 Ho 3.35

Computed properties:
ΔE_f: 0.32 eV per formula unit